No. 1
Entry from Alexandria: a relaxed KSeF4 crystal (PBE).

```
data_KSeF4
_cell_length_a 5.505
_cell_length_b 5.804
_cell_length_c 6.717
_cell_angle_alpha 90.00
_cell_angle_beta 90.00
_cell_angle_gamma 90.00
_space_group_name_H-M_alt 'P m n 21'
_space_group_IT_number 31
_space_group_name_Hall 'P 2ac -2'
loop_
_atom_site_label
_atom_site_fract_x
_atom_site_fract_y
_atom_site_fract_z
K1 0.000 0.017 0.000
Se1 0.000 0.440 0.526
F1 0.000 0.146 0.394
F2 0.000 0.705 0.690
F3 0.220 0.298 0.716
```

Properties
The value obtained for the polymorph energy (0 for the lowest one) is 65 meV per atom. The crystal system is orthorhombic. Its magnetization is 1.00 μB per formula unit. For the uncorrected formation energy, the calculation gives -1089 kJ/mol of formula units. For the volume, the calculation gives 17.9 Å³/atom.

No. 2
Entry from Alexandria: a relaxed K2SeF6 crystal (PBE).

```
data_K2SeF6
_cell_length_a 5.9146
_cell_length_b 5.9146
_cell_length_c 4.7669
_cell_angle_alpha 90.00
_cell_angle_beta 90.00
_cell_angle_gamma 120.00
_space_group_name_H-M_alt 'P -3 m 1'
_space_group_IT_number 164
_space_group_name_Hall '-P 3 2"'
loop_
_atom_site_label
_atom_site_fract_x
_atom_site_fract_y
_atom_site_fract_z
K1 0.3333 0.6667 0.2083
Se1 0.0000 0.0000 0.5000
F1 0.1609 0.3217 0.7254
```

Properties
The value obtained for the polymorph energy (0 for the lowest one) is 0 meV per atom. The calculation puts the density of states at the Fermi level at 0.00 states/eV/atom. The crystal system is trigonal. Its magnetization is 0.00 μB per formula unit. For the uncorrected formation energy, the calculation gives -1979 kJ/mol of formula units. For the volume, the calculation gives 16.0 Å³/atom.

No. 3
Entry from Alexandria: a relaxed KTiSe2F crystal (PBE).

```
data_KTiSe2F
_cell_length_a 5.678
_cell_length_b 5.678
_cell_length_c 3.698
_cell_angle_alpha 90.00
_cell_angle_beta 90.00
_cell_angle_gamma 90.00
_space_group_name_H-M_alt 'P 4/m m m'
_space_group_IT_number 123
_space_group_name_Hall '-P 4 2'
loop_
_atom_site_label
_atom_site_fract_x
_atom_site_fract_y
_atom_site_fract_z
K1 0.000 0.000 0.000
Ti1 0.500 0.500 0.000
Se1 0.000 0.500 0.500
F1 0.500 0.500 0.500
```

Properties
The calculation puts the density of states at the Fermi level at 0.58 states/eV/atom. The crystal system is tetragonal. Its magnetization is 0.03 μB per formula unit. For the uncorrected formation energy, the calculation gives -380 kJ/mol of formula units. For the volume, the calculation gives 23.8 Å³/atom.

No. 4
Entry from Alexandria: a relaxed K2TlSeF crystal (PBE).

```
data_K2TlSeF
_cell_length_a 5.137
_cell_length_b 5.137
_cell_length_c 5.357
_cell_angle_alpha 90.00
_cell_angle_beta 90.00
_cell_angle_gamma 90.00
_space_group_name_H-M_alt 'P 4/m m m'
_space_group_IT_number 123
_space_group_name_Hall '-P 4 2'
loop_
_atom_site_label
_atom_site_fract_x
_atom_site_fract_y
_atom_site_fract_z
K1 0.000 0.500 0.000
Tl1 0.000 0.000 0.500
Se1 0.500 0.500 0.500
F1 0.000 0.000 0.000
```

Properties
The crystal system is tetragonal. Its magnetization is 0.00 μB per formula unit. For the uncorrected formation energy, the calculation gives -687 kJ/mol of formula units. For the volume, the calculation gives 28.3 Å³/atom.

No. 5
Entry from Alexandria: a relaxed KTl2SeF crystal (PBE).

```
data_KTl2SeF
_cell_length_a 7.347
_cell_length_b 4.247
_cell_length_c 9.726
_cell_angle_alpha 90.00
_cell_angle_beta 91.55
_cell_angle_gamma 90.00
_space_group_name_H-M_alt 'P 1 21/m 1'
_space_group_IT_number 11
_space_group_name_Hall '-P 2yb'
loop_
_atom_site_label
_atom_site_fract_x
_atom_site_fract_y
_atom_site_fract_z
K1 0.215 0.250 0.479
Tl1 0.135 0.250 0.857
Tl2 0.349 0.750 0.145
Se1 0.396 0.750 0.743
F1 0.076 0.750 0.356
```

Properties
The crystal system is monoclinic. Its magnetization is 0.00 μB per formula unit. For the uncorrected formation energy, the calculation gives -600 kJ/mol of formula units. For the volume, the calculation gives 30.3 Å³/atom.